(1)
DFT (PBE) results for a relaxed structure of ScCoH3.

Cell lengths 3.126, 3.126, 8.490 Å; angles 79.39, 79.39, 90.00 degrees
Element x y z (fractional)
Co: 0.870 0.370 0.259
Sc: 0.000 0.000 0.000
H: 0.571 0.571 0.859
H: 0.649 0.866 0.268
Co: 0.630 0.130 0.741
H: 0.083 0.866 0.268
H: 0.134 0.351 0.732
H: 0.134 0.917 0.732
H: 0.429 0.429 0.141
Sc: 0.250 0.750 0.500

Computed properties:
density of states at the Fermi level = 0.306 states/eV per atom
total magnetic moment = 0.00 μB/cell
electronic total energy = -4.65 eV per atom

***

(2)
DFT (PBE) results for a relaxed structure of ScCoH3.

Cell lengths 3.384, 3.110, 4.583 Å; angles 70.19, 68.34, 90.00 degrees
Element x y z (fractional)
Co: 0.051 0.854 0.603
H: 0.142 0.445 0.421
H: 0.851 0.654 0.004
Sc: 0.382 0.186 0.941
H: 0.581 0.885 0.542

Computed properties:
density of states at the Fermi level = 0.229 states/eV per atom
total magnetic moment = 0.29 μB/cell
electronic total energy = -5.02 eV per atom

***

(3)
DFT (PBE) results for a relaxed structure of ScCoH3.

Cell lengths 3.124, 3.124, 9.725 Å; angles 90.00, 90.00, 120.00 degrees
Element x y z (fractional)
H: 0.667 0.333 0.040
H: 0.000 0.000 0.250
Co: 0.000 0.000 0.000
H: 0.333 0.667 0.960
H: 0.667 0.333 0.460
Sc: 0.667 0.333 0.250
Co: 0.000 0.000 0.500
H: 0.000 0.000 0.750
Sc: 0.333 0.667 0.750
H: 0.333 0.667 0.540

Computed properties:
density of states at the Fermi level = 0.436 states/eV per atom
total magnetic moment = 1.15 μB/cell
electronic total energy = -4.68 eV per atom

***

(4)
DFT (PBE) results for a relaxed structure of ScCoH3.

Cell lengths 4.296, 5.504, 3.486 Å; angles 71.54, 90.00, 90.75 degrees
Element x y z (fractional)
H: 0.488 0.552 0.264
Sc: 0.848 0.162 0.959
Co: 0.855 0.568 0.256
H: 0.089 0.053 0.513
Co: 0.358 0.251 0.414
H: 0.845 0.577 0.751
Sc: 0.329 0.690 0.695
H: 0.605 0.030 0.525
H: 0.079 0.807 0.136
H: 0.347 0.263 0.908

Computed properties:
density of states at the Fermi level = 0.186 states/eV per atom
total magnetic moment = 0.00 μB/cell
electronic total energy = -5.16 eV per atom

***

(5)
DFT (PBE) results for a relaxed structure of ScCo3H.

Cell lengths 3.743, 3.743, 3.743 Å; angles 90.00, 90.00, 90.00 degrees
Element x y z (fractional)
H: 0.000 0.000 0.000
Co: 0.000 0.500 0.000
Co: 0.500 0.000 0.000
Co: 0.000 0.000 0.500
Sc: 0.500 0.500 0.500

Computed properties:
density of states at the Fermi level = 1.173 states/eV per atom
total magnetic moment = 2.71 μB/cell
electronic total energy = -6.34 eV per atom
polymorph energy (0 for the lowest one) = 0.0 meV per atom

***

(6)
DFT (PBE) results for a relaxed structure of ScCoH6.

Cell lengths 4.077, 4.077, 4.239 Å; angles 61.26, 61.26, 60.00 degrees
Element x y z (fractional)
Co: 0.000 0.000 0.000
H: 0.901 0.436 0.762
H: 0.099 0.099 0.238
H: 0.099 0.564 0.238
H: 0.901 0.901 0.762
H: 0.564 0.099 0.238
Sc: 0.500 0.500 0.500
H: 0.436 0.901 0.762

Computed properties:
density of states at the Fermi level = 0.010 states/eV per atom
total magnetic moment = 0.00 μB/cell
electronic total energy = -4.41 eV per atom

***

(7)
DFT (PBE) results for a relaxed structure of ScCoH3.

Cell lengths 14.835, 4.672, 5.894 Å; angles 90.00, 157.95, 90.00 degrees
Element x y z (fractional)
H: 0.553 0.841 0.052
Co: 0.113 0.310 0.612
H: 0.447 0.159 0.948
Co: 0.887 0.690 0.388
H: 0.947 0.341 0.448
Co: 0.613 0.190 0.112
H: 0.864 0.250 0.864
Sc: 0.388 0.750 0.387
H: 0.764 0.989 0.264
H: 0.236 0.011 0.736
H: 0.136 0.750 0.136
H: 0.636 0.750 0.636
Sc: 0.612 0.250 0.613
Sc: 0.112 0.250 0.113
H: 0.053 0.659 0.552
Co: 0.387 0.810 0.888
H: 0.264 0.511 0.764
H: 0.736 0.489 0.236
Sc: 0.888 0.750 0.887
H: 0.364 0.250 0.364

Computed properties:
density of states at the Fermi level = 0.133 states/eV per atom
total magnetic moment = 0.00 μB/cell
electronic total energy = -5.06 eV per atom

***

(8)
DFT (PBE) results for a relaxed structure of ScCo2H2.

Cell lengths 3.270, 3.270, 4.858 Å; angles 70.33, 70.33, 90.00 degrees
Element x y z (fractional)
Co: 0.335 0.335 0.331
H: 0.250 0.750 0.500
H: 0.750 0.250 0.500
Co: 0.665 0.665 0.669
Sc: 0.000 0.000 0.000

Computed properties:
density of states at the Fermi level = 1.223 states/eV per atom
total magnetic moment = 1.91 μB/cell
electronic total energy = -5.60 eV per atom
polymorph energy (0 for the lowest one) = 0.0 meV per atom